This record from Alexandria describes Pm2Zn3Cu12Si after structural relaxation. The functional is PBE.

Cell: 6.2280 6.2280 26.1960 Å, 90.00 90.00 120.00°
Space group R-3m (No. 166, hexagonal axes)
One atom of each set of equivalent atoms:
Pm  0.0000  0.0000  0.1514 x6
Zn  0.0000  0.5000  0.0000 x9
Cu  0.0491  0.5245  0.0975 x18
Cu  0.0746  0.5373  0.6169 x18
Si  0.0000  0.0000  0.5000 x3

Output
As for the total magnetization: 0.00 μB/cell. The value obtained for the formation energy without anion corrections is 1.35 eV per formula unit. The total energy is -3.70 eV/atom.

This record from Alexandria describes Ta2Nb4Mo after structural relaxation. The functional is PBE.

Cell: 3.1469 18.7228 4.4726 Å, 90.00 90.00 90.00°
Space group Cmmm (No. 65)
One atom of each set of equivalent atoms:
Ta  0.0000  0.0667  0.0000 x4
Nb  0.0000  0.1759  0.5000 x4
Nb  0.0000  0.3112  0.0000 x4
Mo  0.0000  0.5000  0.5000 x2

Output
The energy of formation from the pure elements comes out at 0.47 eV/atom. As for the total magnetization: 0.00 μB/cell. The total energy is -10.21 eV/atom. The energy relative to the lowest polymorph listed for this composition is 519 meV per atom.

This record from Alexandria describes Er2HgN after structural relaxation. The functional is PBE.

Cell: 3.4877 3.4877 22.9024 Å, 90.00 90.00 120.00°
Space group R-3m (No. 166, hexagonal axes)
One atom of each set of equivalent atoms:
Er  0.0000  0.0000  0.2251 x6
Hg  0.0000  0.0000  0.0000 x3
N  0.0000  0.0000  0.5000 x3

Output
As for the total magnetization: 0.00 μB/cell. The value obtained for the formation energy without anion corrections is -4.15 eV per formula unit. The total energy is -5.48 eV/atom.

This record from Alexandria describes KRe3Pd after structural relaxation. The functional is PBE.

Cell: 4.8809 4.8809 4.8809 Å, 90.00 90.00 90.00°
Space group Pm-3m (No. 221)
One atom of each set of equivalent atoms:
K  0.0000  0.0000  0.0000 x1
Re  0.0000  0.5000  0.5000 x3
Pd  0.5000  0.5000  0.5000 x1

Output
The energy of formation from the pure elements comes out at 2.66 eV/atom. As for the total magnetization: 4.22 μB/cell. The total energy is -6.07 eV/atom. The energy relative to the lowest polymorph listed for this composition is 0 meV per atom.

This record from Alexandria describes PrNd3Au4 after structural relaxation. The functional is PBE.

Cell: 5.2757 5.2757 25.7538 Å, 90.00 90.00 120.00°
Space group R-3m (No. 166, hexagonal axes)
One atom of each set of equivalent atoms:
Pr  0.0000  0.0000  0.0000 x3
Nd  0.0000  0.0000  0.2499 x6
Nd  0.0000  0.0000  0.5000 x3
Au  0.0000  0.0000  0.1259 x6
Au  0.0000  0.0000  0.3759 x6

Output
The energy of formation from the pure elements comes out at -0.76 eV/atom. As for the total magnetization: 0.00 μB/cell. The total energy is -4.78 eV/atom.

This record from Alexandria describes Na5H7Se4O18 after structural relaxation. The functional is PBE.

Cell: 6.1069 7.3887 10.1014 Å, 101.39 98.23 100.62°
Space group P1 (No. 1)
One atom of each set of equivalent atoms:
Na  0.0000  0.0000  0.0000 x1
Na  0.1302  0.1644  0.3876 x1
Na  0.3107  0.2550  0.7832 x1
Na  0.6382  0.7276  0.1589 x1
Na  0.8476  0.7828  0.5651 x1
H  0.0213  0.6518  0.0502 x1
H  0.1190  0.3838  0.0253 x1
H  0.4843  0.9384  0.4489 x1
H  0.5142  0.9582  0.6662 x1
H  0.6921  0.4189  0.3583 x1
H  0.8320  0.5891  0.9145 x1
H  0.9298  0.3131  0.8892 x1
Se  0.2203  0.6641  0.3282 x1
Se  0.3411  0.7660  0.7929 x1
Se  0.5757  0.1958  0.1521 x1
Se  0.7275  0.2796  0.6075 x1
O  0.0427  0.8063  0.3608 x1
O  0.0646  0.2832  0.9408 x1
O  0.1496  0.8936  0.7606 x1
O  0.1986  0.4921  0.4077 x1
O  0.2304  0.5991  0.1617 x1
O  0.2602  0.5409  0.7167 x1
O  0.3299  0.1068  0.1914 x1
O  0.4469  0.8034  0.9572 x1
O  0.4727  0.1159  0.5575 x1
O  0.4987  0.8098  0.3907 x1
O  0.5596  0.2376  0.9977 x1
O  0.5710  0.8664  0.7172 x1
O  0.6730  0.4282  0.2570 x1
O  0.7249  0.4445  0.5167 x1
O  0.7311  0.3727  0.7725 x1
O  0.7759  0.0794  0.1932 x1
O  0.8891  0.6869  0.0005 x1
O  0.9283  0.1575  0.5829 x1

Output
As for the total magnetization: 0.22 μB/cell. The total energy is -5.02 eV/atom. The energy relative to the lowest polymorph listed for this composition is 18 meV per atom.

This record from Alexandria describes TaPd2RuC after structural relaxation. The functional is PBE.

Cell: 4.0720 4.0720 4.2912 Å, 90.00 90.00 90.00°
Space group P4/mmm (No. 123)
One atom of each set of equivalent atoms:
Ta  0.0000  0.0000  0.0000 x1
Pd  0.0000  0.5000  0.5000 x2
Ru  0.5000  0.5000  0.0000 x1
C  0.0000  0.0000  0.5000 x1

Output
The energy of formation from the pure elements comes out at 0.25 eV/atom. As for the total magnetization: 0.00 μB/cell. The total energy is -7.90 eV/atom.

This record from Alexandria describes NaCd2BiIr after structural relaxation. The functional is PBE.

Cell: 5.3022 5.3022 5.2240 Å, 90.00 90.00 90.00°
Space group P4/mmm (No. 123)
One atom of each set of equivalent atoms:
Na  0.0000  0.0000  0.0000 x1
Cd  0.0000  0.5000  0.5000 x2
Bi  0.5000  0.5000  0.0000 x1
Ir  0.5000  0.5000  0.5000 x1

Output
The energy of formation from the pure elements comes out at 0.09 eV/atom. As for the total magnetization: 0.00 μB/cell. The total energy is -3.09 eV/atom.

This record from Alexandria describes La4Zn3Pb after structural relaxation. The functional is PBE.

Cell: 5.4020 5.4020 7.7225 Å, 90.00 90.00 90.00°
Space group P4/mmm (No. 123)
One atom of each set of equivalent atoms:
La  0.0000  0.5000  0.2352 x4
Zn  0.0000  0.0000  0.0000 x1
Zn  0.0000  0.0000  0.5000 x1
Zn  0.5000  0.5000  0.0000 x1
Pb  0.5000  0.5000  0.5000 x1

Output
The energy of formation from the pure elements comes out at -0.38 eV/atom. As for the total magnetization: 0.00 μB/cell. The total energy is -3.78 eV/atom.

This record from Alexandria describes Ho3Ge2C after structural relaxation. The functional is PBE.

Cell: 3.6078 4.8096 15.8379 Å, 90.00 90.00 90.00°
Space group Immm (No. 71)
One atom of each set of equivalent atoms:
Ho  0.0000  0.0000  0.0000 x2
Ho  0.0000  0.5000  0.1542 x4
Ge  0.0000  0.5000  0.3441 x4
C  0.0000  0.5000  0.0000 x2

Output
The energy of formation from the pure elements comes out at -0.21 eV/atom. As for the total magnetization: 0.00 μB/cell. The total energy is -5.57 eV/atom.